The following is a DFT calculation (PBEsol) of an optimized crystal structure of FeAg.

```
data_FeAg
_symmetry_space_group_name_H-M 'C m m m'
_symmetry_Int_Tables_number 65
_symmetry_space_group_name_Hall '-C 2 2'
_cell_length_a 2.9844
_cell_length_b 4.2900
_cell_length_c 4.4393
_cell_angle_alpha 90.00
_cell_angle_beta 90.00
_cell_angle_gamma 90.00
loop_
_atom_site_label
_atom_site_type_symbol
_atom_site_fract_x
_atom_site_fract_y
_atom_site_fract_z
_atom_site_occupancy
Fe1 Fe 0.0000 0.0000 0.0000 1
Ag1 Ag 0.0000 0.5000 0.5000 1
```

## Properties
Its crystal system is orthorhombic. Its volume is 14.21 Å³/atom. As for the total magnetic moment: 5.513 μB per cell. The energy relative to the elements is 0.9 eV per formula unit. The final energy comes out at -0.208 Ha/atom.

The following is a DFT calculation (PBEsol) of an optimized crystal structure of FeAg.

```
data_FeAg
_symmetry_space_group_name_H-M 'F -4 3 m'
_symmetry_Int_Tables_number 216
_symmetry_space_group_name_Hall 'F -4 2 3'
_cell_length_a 5.6215
_cell_length_b 5.6215
_cell_length_c 5.6215
_cell_angle_alpha 90.00
_cell_angle_beta 90.00
_cell_angle_gamma 90.00
loop_
_atom_site_label
_atom_site_type_symbol
_atom_site_fract_x
_atom_site_fract_y
_atom_site_fract_z
_atom_site_occupancy
Fe1 Fe 0.0000 0.0000 0.0000 1
Ag1 Ag 0.2500 0.2500 0.7500 1
```

## Properties
Its crystal system is cubic. Its volume is 22.21 Å³/atom. As for the total magnetic moment: 12.843 μB per cell. The energy relative to the elements is 3.5 eV per formula unit. The final energy comes out at -0.162 Ha/atom.

The following is a DFT calculation (PBEsol) of an optimized crystal structure of FeAg.

```
data_FeAg
_symmetry_space_group_name_H-M 'P 4/m m m'
_symmetry_Int_Tables_number 123
_symmetry_space_group_name_Hall '-P 4 2'
_cell_length_a 2.6660
_cell_length_b 2.6660
_cell_length_c 3.9683
_cell_angle_alpha 90.00
_cell_angle_beta 90.00
_cell_angle_gamma 90.00
loop_
_atom_site_label
_atom_site_type_symbol
_atom_site_fract_x
_atom_site_fract_y
_atom_site_fract_z
_atom_site_occupancy
Fe1 Fe 0.0000 0.0000 0.0000 1
Ag1 Ag 0.5000 0.5000 0.5000 1
```

## Properties
Its crystal system is tetragonal. Its volume is 14.10 Å³/atom. As for the total magnetic moment: 2.800 μB per cell. The energy relative to the elements is 0.9 eV per formula unit. The final energy comes out at -0.209 Ha/atom.

The following is a DFT calculation (PBEsol) of an optimized crystal structure of Fe2Ag.

```
data_Fe2Ag
_symmetry_space_group_name_H-M 'P -3 m 1'
_symmetry_Int_Tables_number 164
_symmetry_space_group_name_Hall '-P 3 2"'
_cell_length_a 2.7281
_cell_length_b 2.7281
_cell_length_c 6.2204
_cell_angle_alpha 90.00
_cell_angle_beta 90.00
_cell_angle_gamma 120.00
loop_
_atom_site_label
_atom_site_type_symbol
_atom_site_fract_x
_atom_site_fract_y
_atom_site_fract_z
_atom_site_occupancy
Fe1 Fe 0.3333 0.6667 0.3612 1
Ag1 Ag 0.0000 0.0000 0.0000 1
```

## Properties
Its crystal system is trigonal. Its volume is 13.36 Å³/atom. As for the total magnetic moment: 5.161 μB per cell. The energy relative to the elements is 1.1 eV per formula unit. The final energy comes out at -0.246 Ha/atom.

The following is a DFT calculation (PBEsol) of an optimized crystal structure of FeAg3.

```
data_FeAg3
_symmetry_space_group_name_H-M 'C m m m'
_symmetry_Int_Tables_number 65
_symmetry_space_group_name_Hall '-C 2 2'
_cell_length_a 3.1221
_cell_length_b 4.4037
_cell_length_c 8.9790
_cell_angle_alpha 90.00
_cell_angle_beta 90.00
_cell_angle_gamma 90.00
loop_
_atom_site_label
_atom_site_type_symbol
_atom_site_fract_x
_atom_site_fract_y
_atom_site_fract_z
_atom_site_occupancy
Fe1 Fe 0.0000 0.0000 0.0000 1
Ag1 Ag 0.0000 0.0000 0.5000 1
Ag2 Ag 0.0000 0.5000 0.2385 1
```

## Properties
Its crystal system is orthorhombic. Its volume is 15.43 Å³/atom. As for the total magnetic moment: 5.749 μB per cell. The energy relative to the elements is 1.1 eV per formula unit. The final energy comes out at -0.163 Ha/atom.

The following is a DFT calculation (PBEsol) of an optimized crystal structure of Ga3FeAg.

```
data_Ga3FeAg
_symmetry_space_group_name_H-M 'P m -3 m'
_symmetry_Int_Tables_number 221
_symmetry_space_group_name_Hall '-P 4 2 3'
_cell_length_a 4.4757
_cell_length_b 4.4757
_cell_length_c 4.4757
_cell_angle_alpha 90.00
_cell_angle_beta 90.00
_cell_angle_gamma 90.00
loop_
_atom_site_label
_atom_site_type_symbol
_atom_site_fract_x
_atom_site_fract_y
_atom_site_fract_z
_atom_site_occupancy
Ga1 Ga 0.0000 0.0000 0.5000 1
Fe1 Fe 0.0000 0.0000 0.0000 1
Ag1 Ag 0.5000 0.5000 0.5000 1
```

## Properties
The calculation puts the energy above the most stable polymorph in this dataset at 0 meV per atom. Its crystal system is cubic. Its volume is 17.93 Å³/atom. As for the total magnetic moment: 0.207 μB per cell. The energy relative to the elements is 0.9 eV per formula unit. The final energy comes out at -0.158 Ha/atom.

The following is a DFT calculation (PBEsol) of an optimized crystal structure of Ti2GaFeAg.

```
data_Ti2GaFeAg
_symmetry_space_group_name_H-M 'P 4/m m m'
_symmetry_Int_Tables_number 123
_symmetry_space_group_name_Hall '-P 4 2'
_cell_length_a 4.8507
_cell_length_b 4.8507
_cell_length_c 4.5085
_cell_angle_alpha 90.00
_cell_angle_beta 90.00
_cell_angle_gamma 90.00
loop_
_atom_site_label
_atom_site_type_symbol
_atom_site_fract_x
_atom_site_fract_y
_atom_site_fract_z
_atom_site_occupancy
Ti1 Ti 0.0000 0.5000 0.0000 1
Ga1 Ga 0.0000 0.0000 0.5000 1
Fe1 Fe 0.5000 0.5000 0.5000 1
Ag1 Ag 0.0000 0.0000 0.0000 1
```

## Properties
Its crystal system is tetragonal. Its volume is 21.22 Å³/atom. As for the total magnetic moment: 0.241 μB per cell. The energy relative to the elements is 6.3 eV per formula unit. The final energy comes out at -0.191 Ha/atom.

The following is a DFT calculation (PBEsol) of an optimized crystal structure of FeAgGe2.

```
data_FeAgGe2
_symmetry_space_group_name_H-M 'F m -3 m'
_symmetry_Int_Tables_number 225
_symmetry_space_group_name_Hall '-F 4 2 3'
_cell_length_a 6.2519
_cell_length_b 6.2519
_cell_length_c 6.2519
_cell_angle_alpha 90.00
_cell_angle_beta 90.00
_cell_angle_gamma 90.00
loop_
_atom_site_label
_atom_site_type_symbol
_atom_site_fract_x
_atom_site_fract_y
_atom_site_fract_z
_atom_site_occupancy
Fe1 Fe 0.0000 0.0000 0.0000 1
Ag1 Ag 0.0000 0.0000 0.5000 1
Ge1 Ge 0.2500 0.2500 0.2500 1
```

## Properties
Its crystal system is cubic. Its volume is 15.27 Å³/atom. As for the total magnetic moment: 9.348 μB per cell. The energy relative to the elements is 1.4 eV per formula unit. The final energy comes out at -0.191 Ha/atom.